No. 1
A plane-wave DFT calculation with PBE was carried out for Li2ZnSnO4 after structural relaxation.

extended XYZ file:
```
8
Lattice="5.2891 0.0000 0.0000 0.0000 3.1089 0.0000 -1.8035 0.0000 5.0493" Properties=species:S:1:pos:R:3 pbc="T T T"
Li 0.0000 0.0000 0.0000
Li -0.9017 1.5545 2.5247
Zn 1.7428 0.0000 2.5247
Sn 2.6445 1.5545 0.0000
O -0.0130 0.0000 3.8619
O 0.9972 1.5545 1.2466
O 2.4883 1.5545 3.8027
O 3.4985 0.0000 1.1875
```

Properties
Raw total energy: -5.33 eV per atom
Volume: 10.4 A^3/atom
Crystal system: monoclinic
Total magnetic moment: 0.0 μB per formula unit
Calculated density: 5.2 g/cm3

=====

No. 2
A plane-wave DFT calculation with PBE was carried out for LiZrSnO2 after structural relaxation.

extended XYZ file:
```
5
Lattice="4.0700 0.0000 0.0000 0.0000 4.0700 0.0000 0.0000 0.0000 6.1040" Properties=species:S:1:pos:R:3 pbc="T T T"
Li 0.0000 0.0000 0.0000
Zr 0.0000 0.0000 3.0520
Sn 2.0350 2.0350 0.0000
O 0.0000 2.0350 3.0520
O 2.0350 0.0000 3.0520
```

Properties
Raw total energy: -6.14 eV per atom
Volume: 20.2 A^3/atom
Crystal system: tetragonal
Total magnetic moment: 0.0 μB per formula unit
Calculated density: 4.1 g/cm3